The following is a DFT calculation (PBE-GGA) of a geometry-optimized BaTcPb2 structure.

Geometry as POSCAR:
```
BaTcPb2
1.0
0.0000 3.8786 3.8786
3.8786 0.0000 3.8786
3.8786 3.8786 0.0000
Ba Tc Pb
1 1 2
Direct
0.0000 0.0000 0.0000
0.2500 0.2500 0.2500
0.5000 0.5000 0.5000
0.7500 0.7500 0.7500
```

Properties
- Distance to the lowest polymorph of the same formula: 42.6 kJ/mol of atoms
- Formation enthalpy at 0 K: 0.62 eV per atom